1.
12
Lattice="3.080 1.778 10.158 -3.080 1.778 10.158 0.000 -3.556 10.158" Properties=species:S:1:pos:R:3 comment="GGA-PBE Sr3Li7Cd2, optimized geometry" ef_ev_per_fu=-1.27 m_tot_mub_per_atom=0.000 rho_g_cm3=2.67 pbc="T T T"
Sr 0.000 0.000 0.000
Sr 0.000 0.000 4.270
Sr 0.000 0.000 26.204
Li -1.531 -0.884 12.505
Li 0.000 -1.768 17.969
Li -1.531 0.884 17.969
Li 0.000 0.000 15.237
Li 1.531 -0.884 12.505
Li 0.000 1.768 12.505
Li 1.531 0.884 17.969
Cd 0.000 0.000 10.144
Cd 0.000 0.000 20.329

2.
8
Lattice="4.879 0.000 0.000 -2.440 4.226 0.000 0.000 0.000 10.753" Properties=species:S:1:pos:R:3 comment="GGA-PBE SrLi2Cd, optimized geometry" ef_ev_per_fu=-0.53 m_tot_mub_per_atom=0.000 rho_g_cm3=3.20 pbc="T T T"
Sr 0.000 2.817 2.688
Sr 2.440 1.409 8.065
Li 0.000 2.817 5.987
Li 0.000 2.817 10.142
Li 2.440 1.409 0.610
Li 2.440 1.409 4.766
Cd 0.000 0.000 0.000
Cd 0.000 0.000 5.376

3.
12
Lattice="8.230 0.000 0.000 0.000 8.230 0.000 -0.012 0.000 8.213" Properties=species:S:1:pos:R:3 comment="GGA-PBE Sr4LiCd, optimized geometry" polymorph_energy_mev_per_atom=137 ef_ev_per_fu=0.20 m_tot_mub_per_atom=0.000 rho_g_cm3=2.80 pbc="T T T"
Sr 2.057 2.056 1.986
Sr 2.046 2.059 6.227
Sr 2.057 6.175 1.986
Sr 2.046 6.171 6.227
Sr 6.172 2.059 1.986
Sr 6.161 2.056 6.227
Sr 6.172 6.171 1.986
Sr 6.161 6.175 6.227
Li -0.006 0.000 4.107
Li 4.109 4.115 4.107
Cd 0.000 4.115 0.000
Cd 4.115 0.000 0.000

4.
20
Lattice="11.471 0.000 0.000 0.000 11.471 0.000 0.000 0.000 4.220" Properties=species:S:1:pos:R:3 comment="GGA-PBE Sr3Li2Cd5, optimized geometry" ef_ev_per_fu=-2.85 m_tot_mub_per_atom=0.000 rho_g_cm3=5.02 pbc="T T T"
Sr 0.000 0.000 0.000
Sr 2.101 3.634 0.000
Sr 3.634 9.370 0.000
Sr 5.735 5.735 0.000
Sr 7.836 2.101 0.000
Sr 9.370 7.836 0.000
Li 1.279 7.014 0.000
Li 4.457 1.279 0.000
Li 7.014 10.192 0.000
Li 10.192 4.457 0.000
Cd 0.000 5.735 2.110
Cd 0.692 8.854 2.110
Cd 2.617 0.692 2.110
Cd 3.119 6.428 2.110
Cd 5.043 3.119 2.110
Cd 5.735 0.000 2.110
Cd 6.428 8.352 2.110
Cd 8.352 5.043 2.110
Cd 8.854 10.778 2.110
Cd 10.778 2.617 2.110

5.
7
Lattice="4.134 0.000 0.000 0.000 4.134 0.000 0.000 0.000 10.285" Properties=species:S:1:pos:R:3 comment="GGA-PBE SrLi5Cd, optimized geometry" ef_ev_per_fu=-0.33 m_tot_mub_per_atom=0.000 rho_g_cm3=2.22 pbc="T T T"
Sr 0.000 0.000 0.000
Li 0.000 0.000 5.142
Li 0.000 2.067 3.006
Li 0.000 2.067 7.279
Li 2.067 0.000 3.006
Li 2.067 0.000 7.279
Cd 2.067 2.067 5.142

6.
11
Lattice="7.898 0.000 0.000 -3.949 6.840 0.000 0.000 0.000 4.613" Properties=species:S:1:pos:R:3 comment="GGA-PBE SrLi6Cd4, optimized geometry" ef_ev_per_fu=-1.98 m_tot_mub_per_atom=0.000 rho_g_cm3=3.86 pbc="T T T"
Sr 0.000 0.000 0.000
Li 0.000 2.841 2.306
Li -1.489 5.420 2.306
Li 3.949 0.489 0.000
Li 2.398 3.176 0.000
Li 1.489 5.420 2.306
Li 5.500 3.176 0.000
Cd 0.000 4.560 0.000
Cd 2.418 1.396 2.306
Cd 5.480 1.396 2.306
Cd 3.949 4.048 2.306

7.
9
Lattice="6.000 -2.506 0.000 6.000 2.506 0.000 -2.971 0.000 9.109" Properties=species:S:1:pos:R:3 comment="GGA-PBE Sr3Li4Cd2, optimized geometry" ef_ev_per_fu=-1.27 m_tot_mub_per_atom=0.000 rho_g_cm3=3.12 pbc="T T T"
Sr 0.000 0.000 0.000
Sr 2.736 0.000 5.732
Sr 6.294 0.000 3.377
Li -0.774 0.000 5.924
Li 0.519 0.000 8.535
Li 8.511 0.000 0.573
Li 9.803 0.000 3.184
Cd 2.760 0.000 2.201
Cd 6.269 0.000 6.908

8.
14
Lattice="4.448 0.000 0.000 0.000 5.043 0.000 0.000 0.000 22.119" Properties=species:S:1:pos:R:3 comment="GGA-PBE Sr3Li3Cd, optimized geometry" ef_ev_per_fu=-0.48 m_tot_mub_per_atom=0.000 rho_g_cm3=2.65 pbc="T T T"
Sr 0.000 0.000 0.000
Sr 0.000 0.000 8.346
Sr 0.000 2.521 4.330
Sr 2.224 0.000 15.390
Sr 2.224 2.521 11.060
Sr 2.224 2.521 19.406
Li 0.000 0.000 12.291
Li 0.000 0.000 18.220
Li 0.000 2.521 13.920
Li 2.224 0.000 2.860
Li 2.224 2.521 1.231
Li 2.224 2.521 7.161
Cd 0.000 2.521 16.738
Cd 2.224 0.000 5.679

9.
13
Lattice="-4.949 4.949 2.906 4.949 -4.949 2.906 4.949 4.949 -2.906" Properties=species:S:1:pos:R:3 comment="GGA-PBE SrLi8Cd4, optimized geometry" ef_ev_per_fu=-2.43 m_tot_mub_per_atom=0.000 rho_g_cm3=3.46 pbc="T T T"
Sr 0.000 0.000 0.000
Li 3.482 0.000 0.000
Li 6.417 0.000 0.000
Li 4.949 2.705 0.000
Li 0.000 3.482 0.000
Li 2.705 4.949 0.000
Li 2.244 0.000 2.906
Li 0.000 6.417 0.000
Li 0.000 2.244 2.906
Cd 2.475 2.475 -1.453
Cd 2.475 -2.475 1.453
Cd -2.475 2.475 1.453
Cd 2.475 2.475 1.453

10.
12
Lattice="2.447 -7.346 0.000 2.447 7.346 0.000 0.000 0.000 7.272" Properties=species:S:1:pos:R:3 comment="GGA-PBE SrLi5Cd6, optimized geometry" ef_ev_per_fu=-2.57 m_tot_mub_per_atom=0.000 rho_g_cm3=5.06 pbc="T T T"
Sr 0.000 0.000 0.000
Li 0.000 0.000 3.636
Li 2.447 2.574 0.000
Li 2.447 2.329 3.636
Li 2.447 -2.329 3.636
Li 2.447 -2.574 0.000
Cd 2.447 4.726 2.041
Cd 2.447 4.726 5.232
Cd 2.447 0.000 2.110
Cd 2.447 0.000 5.162
Cd 2.447 -4.726 2.041
Cd 2.447 -4.726 5.232

11.
9
Lattice="9.205 -2.152 0.000 9.205 2.152 0.000 -2.634 0.000 7.654" Properties=species:S:1:pos:R:3 comment="GGA-PBE Sr4Li2Cd3, optimized geometry" ef_ev_per_fu=-1.67 m_tot_mub_per_atom=0.000 rho_g_cm3=3.84 pbc="T T T"
Sr 0.305 0.000 2.844
Sr 2.767 0.000 5.976
Sr 13.009 0.000 1.678
Sr 15.471 0.000 4.811
Li -0.772 0.000 7.304
Li 16.548 0.000 0.350
Cd 6.618 0.000 2.076
Cd 9.205 0.000 0.000
Cd 9.158 0.000 5.579

12.
13
Lattice="-6.456 6.456 2.471 6.456 -6.456 2.471 6.456 6.456 -2.471" Properties=species:S:1:pos:R:3 comment="GGA-PBE Sr5Li4Cd4, optimized geometry" ef_ev_per_fu=-2.69 m_tot_mub_per_atom=0.000 rho_g_cm3=3.69 pbc="T T T"
Sr 0.000 0.000 0.000
Sr 8.194 3.824 0.000
Sr 3.824 4.717 0.000
Sr 2.632 1.739 2.471
Sr -1.739 2.632 2.471
Li 5.676 1.283 0.000
Li 5.173 -0.780 2.471
Li 1.283 7.236 0.000
Li 0.780 5.173 2.471
Cd 9.437 0.620 0.000
Cd 0.620 3.475 0.000
Cd 5.836 2.981 2.471
Cd -2.981 5.836 2.471

13.
4
Lattice="3.914 0.000 0.000 0.000 5.089 0.000 -0.807 0.000 5.809" Properties=species:S:1:pos:R:3 comment="GGA-PBE SrLi2Cd, optimized geometry" ef_ev_per_fu=-0.26 m_tot_mub_per_atom=0.000 rho_g_cm3=3.07 pbc="T T T"
Sr 0.000 0.000 0.000
Li 0.693 2.544 4.016
Li 2.415 2.544 1.793
Cd 1.554 0.000 2.905

14.
32
Lattice="8.997 0.000 0.000 0.000 17.159 0.000 0.000 0.000 6.459" Properties=species:S:1:pos:R:3 comment="GGA-PBE Sr3Li2Cd3, optimized geometry" ef_ev_per_fu=-1.89 m_tot_mub_per_atom=0.000 rho_g_cm3=4.09 pbc="T T T"
Sr 0.334 1.831 0.827
Sr 0.334 6.748 0.827
Sr 1.614 4.290 3.958
Sr 2.885 12.869 0.728
Sr 4.165 10.411 4.057
Sr 4.165 15.328 4.057
Sr 4.832 1.831 2.402
Sr 4.832 6.748 2.402
Sr 6.112 4.290 5.731
Sr 7.384 12.869 2.501
Sr 8.664 10.411 5.632
Sr 8.664 15.328 5.632
Li 1.048 10.305 2.453
Li 1.048 15.434 2.453
Li 3.451 1.725 5.683
Li 3.451 6.854 5.683
Li 5.546 10.305 0.776
Li 5.546 15.434 0.776
Li 7.950 1.725 4.006
Li 7.950 6.854 4.006
Cd 1.564 12.869 3.926
Cd 1.596 0.673 3.898
Cd 1.596 7.906 3.898
Cd 2.903 9.253 0.669
Cd 2.903 16.486 0.669
Cd 2.934 4.290 0.696
Cd 6.063 12.869 5.763
Cd 6.094 0.673 5.790
Cd 6.094 7.906 5.790
Cd 7.402 9.253 2.561
Cd 7.402 16.486 2.561
Cd 7.433 4.290 2.533

15.
13
Lattice="0.000 7.090 7.189 2.887 0.000 7.189 2.887 7.090 0.000" Properties=species:S:1:pos:R:3 comment="GGA-PBE SrLi10Cd2, optimized geometry" ef_ev_per_fu=-1.11 m_tot_mub_per_atom=0.000 rho_g_cm3=2.15 pbc="T T T"
Sr 0.000 0.000 0.000
Li 1.444 0.000 3.595
Li 2.887 2.595 4.681
Li 2.887 5.470 5.588
Li 2.887 2.595 9.698
Li 2.887 5.470 8.791
Li 1.444 7.090 3.595
Li 2.887 8.709 5.588
Li 2.887 11.584 4.681
Li 2.887 8.709 8.791
Li 2.887 11.584 9.698
Cd 1.444 3.545 0.000
Cd 1.444 3.545 7.189

16.
14
Lattice="-2.482 5.334 7.138 2.482 -5.334 7.138 2.482 5.334 -7.138" Properties=species:S:1:pos:R:3 comment="GGA-PBE Sr3Li9Cd2, optimized geometry" ef_ev_per_fu=-1.11 m_tot_mub_per_atom=0.000 rho_g_cm3=2.42 pbc="T T T"
Sr 0.000 0.000 0.000
Sr 0.000 0.000 4.558
Sr 0.000 0.000 9.718
Li 2.482 -1.654 2.594
Li 2.482 -2.375 5.526
Li 2.482 1.654 2.594
Li 0.000 2.960 1.612
Li 0.000 5.334 0.000
Li 2.482 2.375 5.526
Li 0.000 3.681 4.544
Li 0.000 7.709 1.612
Li 0.000 6.988 4.544
Cd 2.482 2.918 0.000
Cd 0.000 2.416 7.138

17.
19
Lattice="5.062 2.922 4.895 -5.062 2.922 4.895 0.000 -5.845 4.895" Properties=species:S:1:pos:R:3 comment="GGA-PBE Sr2Li12Cd5, optimized geometry" ef_ev_per_fu=-2.82 m_tot_mub_per_atom=0.000 rho_g_cm3=3.14 pbc="T T T"
Sr 0.000 0.000 2.315
Sr 0.000 0.000 12.370
Li 0.000 -2.788 4.638
Li -2.414 1.394 4.638
Li -1.422 -2.464 7.343
Li -2.845 0.000 7.343
Li -2.414 -1.394 10.047
Li 1.422 -2.464 7.343
Li -1.422 2.464 7.343
Li 2.414 1.394 4.638
Li 2.845 0.000 7.343
Li 1.422 2.464 7.343
Li 2.414 -1.394 10.047
Li 0.000 2.788 10.047
Cd -2.531 -1.461 4.895
Cd 0.000 0.000 5.848
Cd -2.531 1.461 9.791
Cd 0.000 2.922 4.895
Cd 0.000 0.000 8.838

18.
28
Lattice="7.262 -4.468 0.000 7.262 4.468 0.000 0.000 0.000 10.148" Properties=species:S:1:pos:R:3 comment="GGA-PBE Sr2Li9Cd3, optimized geometry" ef_ev_per_fu=-2.03 m_tot_mub_per_atom=0.000 rho_g_cm3=2.90 pbc="T T T"
Sr 5.059 3.005 7.611
Sr 9.466 3.005 7.611
Sr 5.059 -3.005 2.537
Sr 9.466 -3.005 2.537
Li 4.881 2.866 0.830
Li 4.881 2.866 4.244
Li 7.262 3.027 2.537
Li 7.262 1.404 5.153
Li 7.262 1.404 10.070
Li 9.644 2.866 0.830
Li 9.644 2.866 4.244
Li 5.796 0.410 2.537
Li 5.796 -0.410 7.611
Li 8.729 0.410 2.537
Li 8.729 -0.410 7.611
Li 4.881 -2.866 5.904
Li 4.881 -2.866 9.318
Li 7.262 -1.404 0.079
Li 7.262 -1.404 4.996
Li 7.262 -3.027 7.611
Li 9.644 -2.866 5.904
Li 9.644 -2.866 9.318
Cd 0.000 0.000 0.000
Cd 0.000 0.000 5.074
Cd 4.597 0.000 0.000
Cd 4.597 0.000 5.074
Cd 9.928 0.000 0.000
Cd 9.928 0.000 5.074

19.
21
Lattice="10.529 0.000 0.000 -5.265 9.119 0.000 0.000 0.000 4.787" Properties=species:S:1:pos:R:3 comment="GGA-PBE Sr2Li12Cd7, optimized geometry" ef_ev_per_fu=-3.84 m_tot_mub_per_atom=0.000 rho_g_cm3=3.78 pbc="T T T"
Sr 0.000 0.000 0.000
Sr 0.000 6.079 2.393
Li -0.078 3.439 0.000
Li -2.248 7.467 0.000
Li 1.721 2.705 2.393
Li 2.961 1.580 0.000
Li 4.815 1.461 2.393
Li 4.122 4.218 2.393
Li 2.326 7.332 0.000
Li 7.326 0.138 2.393
Li 5.153 5.764 0.000
Li 7.680 1.774 0.000
Li 6.856 3.440 2.393
Li 6.747 6.275 2.393
Cd -2.618 4.684 0.000
Cd -1.167 2.405 2.393
Cd -2.598 8.927 2.393
Cd 2.517 4.509 0.000
Cd 0.101 9.043 0.000
Cd 5.265 3.040 0.000
Cd 3.765 6.905 2.393